Entry from Alexandria: a relaxed structure of PrTm2Sc2 (PBE).

Properties
Formation enthalpy at 0 K   0.13 eV per atom
Space-group type   Imma, No. 74
M_tot   0.00 μB per formula unit
E_tot   -51.5 eV for the cell shown
Excess energy over the best structure of this formula in the dataset   0 meV per atom
N(E_F)   17.06 states/eV/cell

Cell and atoms, written as CIF:
```
data_PrTm2Sc2
_chemical_formula_sum 'Pr2 Tm4 Sc4'
_symmetry_space_group_name_H-M 'P 1'
_symmetry_Int_Tables_number 1
_cell_length_a 9.126
_cell_length_b 9.126
_cell_length_c 9.126
_cell_angle_alpha 145.16
_cell_angle_beta 136.62
_cell_angle_gamma 56.80
loop_
_symmetry_equiv_pos_as_xyz
'x,y,z'
loop_
_atom_site_label
_atom_site_type_symbol
_atom_site_fract_x
_atom_site_fract_y
_atom_site_fract_z
Pr1 Pr 0.374 0.124 0.250
Pr2 Pr 0.626 0.876 0.750
Tm1 Tm 0.126 0.876 0.250
Tm2 Tm 0.251 0.501 0.750
Tm3 Tm 0.749 0.499 0.250
Tm4 Tm 0.874 0.124 0.750
Sc1 Sc 0.185 0.692 0.493
Sc2 Sc 0.302 0.308 0.993
Sc3 Sc 0.698 0.692 0.007
Sc4 Sc 0.815 0.308 0.507
```